No. 1
DFT (GGA-PBE) results for an optimized crystal structure of BaNa2ZnIn.

Properties
V ... 170.31 Å³/cell

a b c (Å): 5.6203 5.6203 5.3917
angles (deg): 90.00 90.00 90.00
Last column: magnetic moment on the atom in μB.
Atoms (fractional coordinates):
Na  0.0000  0.5000  0.0000  0.01
Na  0.5000  0.0000  0.0000  0.01
Zn  0.0000  0.0000  0.0000  0.00
Ba  0.5000  0.5000  0.5000  0.08
In  0.0000  0.0000  0.5000  0.02

No. 2
DFT (GGA-PBE) results for an optimized crystal structure of BaNbIn3.

Properties
V ... 162.74 Å³/cell

a b c (Å): 5.4596 5.4596 5.4596
angles (deg): 90.00 90.00 90.00
Atoms (fractional coordinates):
Nb  0.0000  0.0000  0.0000
Ba  0.5000  0.5000  0.5000
In  0.5000  0.0000  0.0000
In  0.0000  0.5000  0.0000
In  0.0000  0.0000  0.5000

| no. | formation energy from the elements (eV per atom) |
| --- | --- |
| 1 | -0.008 |
| 2 | -0.055 |